No. 1
Compound: Mn2Nb2Ir
Source: the Alexandria database
Functional: GGA-PBE
Structure: optimized geometry

Summary:
The space group is No. 127. The volume is 73.6 Å³/f.u. For the calculated formation energy, the calculation gives -0.06 eV/atom.

```
Mn2Nb2Ir
1.0
6.751 0.000 0.000
0.000 6.751 0.000
0.000 0.000 3.232
Nb Ir Mn
4 2 4
direct
0.193 0.693 0.500
0.693 0.807 0.500
0.807 0.307 0.500
0.307 0.193 0.500
0.000 0.000 0.000
0.500 0.500 0.000
0.391 0.891 0.000
0.891 0.609 0.000
0.609 0.109 0.000
0.109 0.391 0.000
```

No. 2
Compound: UGa2Re
Source: the Alexandria database
Functional: GGA-PBE
Structure: optimized geometry

Summary:
The space group is No. 225. The volume is 69.0 Å³/f.u. For the calculated formation energy, the calculation gives 0.00 eV/atom.

```
UGa2Re
1.0
-1.028 2.096 -3.967
1.447 -1.785 -3.988
-3.023 -1.913 -2.897
Re U Ga
1 1 2
direct
0.000 0.000 0.000
0.500 0.500 0.500
0.750 0.750 0.750
0.250 0.250 0.250
```

No. 3
Compound: Pr8Dy3Er2
Source: the Alexandria database
Functional: GGA-PBE
Structure: optimized geometry

Summary:
The space group is No. 12. The volume is 459.9 Å³/f.u. For the calculated formation energy, the calculation gives 0.20 eV/atom.

```
Pr8Dy3Er2
1.0
-0.929 5.389 -1.903
-6.343 -2.426 -3.776
-2.501 3.157 10.168
Pr Dy Er
8 3 2
direct
0.000 0.675 0.349
0.000 0.325 0.651
0.000 0.131 0.262
0.000 0.869 0.738
0.500 0.598 0.788
0.500 0.189 0.788
0.500 0.811 0.212
0.500 0.402 0.212
0.500 0.000 0.000
0.000 0.286 0.000
0.000 0.714 0.000
0.499 0.240 0.479
0.501 0.760 0.521
```

No. 4
Compound: CaY3Ho2Te6
Source: the Alexandria database
Functional: GGA-PBE
Structure: optimized geometry

Summary:
The space group is No. 12. The volume is 355.5 Å³/f.u. The value obtained for the formation energy from raw total energies is -1.342 eV per atom.

```
CaY3Ho2Te6
1.0
4.370 0.000 0.000
0.000 8.766 0.290
-2.185 -2.554 9.194
Ca Y Ho Te
1 3 2 6
direct
0.500 0.000 0.000
0.500 0.500 0.000
0.835 0.177 0.669
0.165 0.823 0.331
0.829 0.659 0.658
0.171 0.341 0.342
0.332 0.916 0.664
0.665 0.580 0.330
0.668 0.084 0.336
0.003 0.252 0.006
0.997 0.748 0.994
0.335 0.420 0.670
```

No. 5
Compound: VFe4Ge
Source: the Alexandria database
Functional: GGA-PBE
Structure: optimized geometry

Summary:
For the excess energy over the best structure of this formula in the dataset, the calculation gives 129.3 meV per atom. The space group is No. 216. The volume is 74.0 Å³/f.u. For the calculated formation energy, the calculation gives 0.02 eV/atom.

```
VFe4Ge
1.0
-0.609 2.297 -4.069
0.407 -2.305 -4.090
-3.823 -0.832 -2.626
Ge Fe V
1 4 1
direct
0.000 0.000 0.000
0.625 0.625 0.126
0.625 0.126 0.625
0.625 0.625 0.625
0.126 0.625 0.625
0.250 0.250 0.250
```

No. 6
Compound: SrRe2OsRh
Source: the Alexandria database
Functional: GGA-PBE
Structure: optimized geometry

Summary:
The space group is No. 123. The volume is 112.9 Å³/f.u. For the calculated formation energy, the calculation gives 1.31 eV/atom.

```
SrRe2OsRh
1.0
4.780 0.000 0.000
0.000 4.939 0.000
0.000 0.000 4.780
Re Os Rh Sr
2 1 1 1
direct
0.000 0.000 0.500
0.500 0.000 0.000
0.000 0.000 0.000
0.000 0.500 0.000
0.500 0.500 0.500
```

No. 7
Compound: NaLi2TmI6
Source: the Alexandria database
Functional: GGA-PBE
Structure: optimized geometry

Summary:
The space group is No. 146. The volume is 356.2 Å³/f.u. The value obtained for the formation energy from raw total energies is -1.257 eV per atom.

```
NaLi2TmI6
1.0
7.643 0.000 0.000
3.821 6.618 0.000
3.821 2.206 7.042
Na Li Tm I
1 2 1 6
direct
0.818 0.818 0.546
0.510 0.510 0.472
0.005 0.005 0.985
0.327 0.327 0.020
0.591 0.246 0.243
0.246 0.920 0.243
0.920 0.591 0.243
0.388 0.737 0.755
0.737 0.120 0.755
0.120 0.388 0.755
```

No. 8
Compound: Y5HoTh
Source: the Alexandria database
Functional: GGA-PBE
Structure: optimized geometry

Summary:
The space group is No. 15. The volume is 230.7 Å³/f.u. For the calculated formation energy, the calculation gives 0.21 eV/atom.

```
Y5HoTh
1.0
-1.656 -1.616 5.693
3.431 -8.441 1.919
6.630 3.125 4.726
Y Ho Th
10 2 2
direct
0.386 0.628 0.854
0.460 0.308 0.538
0.014 0.372 0.354
0.853 0.294 0.750
0.232 0.308 0.962
0.768 0.692 0.038
0.147 0.706 0.250
0.986 0.628 0.646
0.540 0.692 0.462
0.614 0.372 0.146
0.513 0.974 0.750
0.487 0.026 0.250
0.000 0.000 0.000
0.000 0.000 0.500
```